No. 1
DFT (GGA-PBE) results for Sm3SiNi2 after structural relaxation.

a b c (Å): 3.962 11.688 11.723
angles (deg): 90.00 90.00 90.00
Sites, in units of the cell vectors:
Sm1 0.750 0.563 0.617
Sm2 0.250 0.816 0.688
Sm3 0.750 0.878 0.430
Sm4 0.750 0.937 0.117
Sm5 0.750 0.622 0.930
Sm6 0.250 0.063 0.883
Sm7 0.250 0.437 0.383
Sm8 0.750 0.184 0.312
Sm9 0.250 0.684 0.188
Sm10 0.250 0.378 0.070
Sm11 0.250 0.122 0.570
Sm12 0.750 0.316 0.812
Si1 0.250 0.369 0.628
Si2 0.750 0.869 0.872
Si3 0.750 0.631 0.372
Si4 0.250 0.131 0.128
Ni1 0.750 0.514 0.196
Ni2 0.250 0.814 0.960
Ni3 0.250 0.686 0.460
Ni4 0.750 0.314 0.540
Ni5 0.750 0.986 0.696
Ni6 0.250 0.486 0.804
Ni7 0.750 0.186 0.040
Ni8 0.250 0.014 0.304

Properties
Its symmetry is Pnma (62). The total energy is -135.096 eV for the cell shown. Its total moment is 0.000 Bohr magnetons per cell. As for the uncorrected formation energy: -0.4385 eV/atom. As for the calculated volume: 22.62 A^3/atom.

=====

No. 2
DFT (GGA-PBE) results for Sm4Si9Ni7 after structural relaxation.

a b c (Å): 7.963 7.963 5.662
angles (deg): 69.51 69.51 91.54
Sites, in units of the cell vectors:
Si1 0.990 0.010 0.500
Si2 0.000 0.000 0.000
Si3 0.529 0.749 0.100
Si4 0.251 0.471 0.900
Si5 0.457 0.238 0.405
Si6 0.762 0.543 0.595
Si7 0.265 0.735 0.500
Si8 0.739 0.261 0.500
Si9 0.734 0.266 0.000
Ni1 0.514 0.486 0.000
Ni2 0.016 0.764 0.370
Ni3 0.748 0.019 0.871
Ni4 0.981 0.252 0.129
Ni5 0.506 0.494 0.500
Ni6 0.236 0.984 0.630
Ni7 0.275 0.725 0.000
Sm1 0.112 0.373 0.512
Sm2 0.627 0.888 0.488
Sm3 0.364 0.105 0.012
Sm4 0.895 0.636 0.988

Properties
Its symmetry is C2 (5). The total energy is -123.639 eV for the cell shown. Its total moment is 0.000 Bohr magnetons per cell. As for the uncorrected formation energy: -0.7743 eV/atom. As for the calculated volume: 15.52 A^3/atom.

=====

No. 3
DFT (GGA-PBE) results for SmSiNi11 after structural relaxation.

a b c (Å): 4.684 6.229 6.263
angles (deg): 82.59 68.04 69.83
Each line ends with the local moment (μB).
Sites, in units of the cell vectors:
Si1 0.500 0.500 0.000  -0.01
Ni1 0.000 0.000 0.500  0.36
Ni2 0.283 0.230 0.225  0.20
Ni3 0.492 0.770 0.225  0.20
Ni4 0.013 0.354 0.645  0.24
Ni5 0.508 0.230 0.775  0.20
Ni6 0.717 0.770 0.775  0.20
Ni7 0.000 0.500 0.000  0.18
Ni8 0.987 0.646 0.355  0.24
Ni9 0.342 0.646 0.645  0.24
Ni10 0.658 0.354 0.355  0.24
Ni11 0.500 0.000 0.500  0.36
Sm1 0.000 0.000 0.000  -0.04

Properties
Its symmetry is C2/m (12). The total energy is -77.005 eV for the cell shown. Its total moment is 2.446 Bohr magnetons per cell. As for the uncorrected formation energy: -0.2514 eV/atom. As for the calculated volume: 12.23 A^3/atom.

=====

No. 4
DFT (GGA-PBE) results for Sm3Si2Ni7 after structural relaxation.

a b c (Å): 5.200 5.200 8.365
angles (deg): 71.89 71.89 60.00
Sites, in units of the cell vectors:
Ni1 0.426 0.918 0.231
Ni2 0.574 0.574 0.769
Ni3 0.574 0.082 0.769
Ni4 0.426 0.426 0.231
Ni5 0.082 0.574 0.769
Ni6 0.500 0.500 0.500
Ni7 0.918 0.426 0.231
Sm1 0.142 0.142 0.574
Sm2 0.000 0.000 0.000
Sm3 0.858 0.858 0.426
Si1 0.669 0.669 0.994
Si2 0.331 0.331 0.006

Properties
Its symmetry is R-3m (166). The total energy is -71.839 eV for the cell shown. Its total moment is 0.000 Bohr magnetons per cell. As for the uncorrected formation energy: -0.5305 eV/atom. As for the calculated volume: 15.23 A^3/atom.

=====

No. 5
DFT (GGA-PBE) results for SmSiNi after structural relaxation.

a b c (Å): 4.180 3.989 3.989
angles (deg): 120.00 90.00 90.00
Sites, in units of the cell vectors:
Si1 0.167 0.333 0.667
Ni1 0.167 0.000 0.000
Sm1 0.667 0.667 0.333

Properties
Its symmetry is P-6m2 (187). The total energy is -18.128 eV for the cell shown. Its total moment is 0.000 Bohr magnetons per cell. As for the uncorrected formation energy: -0.7347 eV/atom. As for the calculated volume: 19.21 A^3/atom.

=====

No. 6
DFT (GGA-PBE) results for Sm3Si2Ni4 after structural relaxation.

a b c (Å): 4.017 5.477 8.022
angles (deg): 99.41 90.00 111.51
Sites, in units of the cell vectors:
Si1 0.327 0.655 0.210
Si2 0.673 0.345 0.790
Sm1 0.000 0.000 0.000
Sm2 0.378 0.756 0.618
Sm3 0.622 0.244 0.382
Ni1 0.737 0.473 0.088
Ni2 0.912 0.824 0.359
Ni3 0.088 0.176 0.641
Ni4 0.263 0.527 0.912

Properties
Its symmetry is C2/m (12). The total energy is -53.766 eV for the cell shown. Its total moment is 0.000 Bohr magnetons per cell. As for the uncorrected formation energy: -0.6263 eV/atom. As for the calculated volume: 17.96 A^3/atom.

=====

What is the calculated volume in the third record? 12.23 A^3/atom

=====

Copy entry 3 word for word.
DFT (GGA-PBE) results for SmSiNi11 after structural relaxation.

a b c (Å): 4.684 6.229 6.263
angles (deg): 82.59 68.04 69.83
Each line ends with the local moment (μB).
Sites, in units of the cell vectors:
Si1 0.500 0.500 0.000  -0.01
Ni1 0.000 0.000 0.500  0.36
Ni2 0.283 0.230 0.225  0.20
Ni3 0.492 0.770 0.225  0.20
Ni4 0.013 0.354 0.645  0.24
Ni5 0.508 0.230 0.775  0.20
Ni6 0.717 0.770 0.775  0.20
Ni7 0.000 0.500 0.000  0.18
Ni8 0.987 0.646 0.355  0.24
Ni9 0.342 0.646 0.645  0.24
Ni10 0.658 0.354 0.355  0.24
Ni11 0.500 0.000 0.500  0.36
Sm1 0.000 0.000 0.000  -0.04

Properties
Its symmetry is C2/m (12). The total energy is -77.005 eV for the cell shown. Its total moment is 2.446 Bohr magnetons per cell. As for the uncorrected formation energy: -0.2514 eV/atom. As for the calculated volume: 12.23 A^3/atom.

=====

Repeat the second record exactly.
DFT (GGA-PBE) results for Sm4Si9Ni7 after structural relaxation.

a b c (Å): 7.963 7.963 5.662
angles (deg): 69.51 69.51 91.54
Sites, in units of the cell vectors:
Si1 0.990 0.010 0.500
Si2 0.000 0.000 0.000
Si3 0.529 0.749 0.100
Si4 0.251 0.471 0.900
Si5 0.457 0.238 0.405
Si6 0.762 0.543 0.595
Si7 0.265 0.735 0.500
Si8 0.739 0.261 0.500
Si9 0.734 0.266 0.000
Ni1 0.514 0.486 0.000
Ni2 0.016 0.764 0.370
Ni3 0.748 0.019 0.871
Ni4 0.981 0.252 0.129
Ni5 0.506 0.494 0.500
Ni6 0.236 0.984 0.630
Ni7 0.275 0.725 0.000
Sm1 0.112 0.373 0.512
Sm2 0.627 0.888 0.488
Sm3 0.364 0.105 0.012
Sm4 0.895 0.636 0.988

Properties
Its symmetry is C2 (5). The total energy is -123.639 eV for the cell shown. Its total moment is 0.000 Bohr magnetons per cell. As for the uncorrected formation energy: -0.7743 eV/atom. As for the calculated volume: 15.52 A^3/atom.